No. 1
First-principles (GGA-PBEsol) data for an optimized crystal structure of Mg2ScBiF, as listed in Alexandria via LeMat-Bulk.

Properties
* crystal system: tetragonal
* ΔE_f (raw): 283 meV/atom
* density: 2.9 g/cm³
* calculated total energy: -2.968 eV/atom
* DOS(E_F): 4.7 states/eV/f.u.

Cell: 5.8511 5.8511 5.3131 Å, 90.00 90.00 90.00°
Closest atoms and distances in Å follow each position.
Fractional positions:
1 Mg 0.0000 0.5000 0.0000  2 Sc 2.93
2 Mg 0.5000 0.0000 0.0000  2 Sc 2.93
3 Sc 0.0000 0.0000 0.0000  2 Bi 2.66, 4 Mg 2.93
4 Bi 0.0000 0.0000 0.5000  2 Sc 2.66
5 F 0.5000 0.5000 0.5000  8 Mg 3.95, 4 Bi 4.14

No. 2
First-principles (GGA-PBEsol) data for an optimized crystal structure of ZrInRuN2, as listed in Alexandria via LeMat-Bulk.

Properties
* crystal system: tetragonal
* ΔE_f (raw): 861 meV/atom
* density: 6.3 g/cm³
* calculated total energy: -6.999 eV/atom
* DOS(E_F): 3.1 states/eV/f.u.

Cell: 4.1210 4.1210 5.1637 Å, 90.00 90.00 90.00°
Closest atoms and distances in Å follow each position.
Fractional positions:
1 Zr 0.0000 0.0000 0.0000  4 N 2.06
2 In 0.5000 0.5000 0.5000  4 Ru 2.91
3 Ru 0.0000 0.0000 0.5000  2 Zr 2.58
4 N 0.0000 0.5000 0.0000  2 Zr 2.06
5 N 0.5000 0.0000 0.0000  2 Zr 2.06

No. 3
First-principles (GGA-PBEsol) data for an optimized crystal structure of FeAsF3, as listed in Alexandria via LeMat-Bulk.

Properties
* crystal system: cubic
* ΔE_f (raw): -972 meV/atom
* density: 4.7 g/cm³
* calculated total energy: -4.942 eV/atom
* DOS(E_F): 5.6 states/eV/f.u.

Cell: 4.0404 4.0404 4.0404 Å, 90.00 90.00 90.00°
Closest atoms and distances in Å follow each position.
Fractional positions:
1 Fe 0.0000 0.0000 0.0000  6 F 2.02
2 As 0.5000 0.5000 0.5000  12 F 2.86
3 F 0.0000 0.0000 0.5000  2 Fe 2.02
4 F 0.0000 0.5000 0.0000  2 Fe 2.02
5 F 0.5000 0.0000 0.0000  2 Fe 2.02

No. 4
First-principles (GGA-PBEsol) data for an optimized crystal structure of Ca2Se3O8, as listed in Alexandria via LeMat-Bulk.

Properties
* crystal system: triclinic
* ΔE_f (raw): -1656 meV/atom
* density: 3.8 g/cm³
* calculated total energy: -6.103 eV/atom
* DOS(E_F): 0.0 states/eV/f.u.

Cell: 5.4880 8.2185 8.7157 Å, 92.62 96.32 97.93°
Closest atoms and distances in Å follow each position.
Fractional positions:
1 Ca 0.2071 0.3391 0.0392  7 O 2.30-2.55
2 Ca 0.2582 0.5442 0.6528  8 O 2.36-2.60
3 Ca 0.7418 0.4558 0.3472  8 O 2.36-2.60
4 Ca 0.7929 0.6609 0.9608  7 O 2.30-2.55
5 Se 0.2212 0.1770 0.4234  3 O 1.69-1.83
6 Se 0.2861 0.9433 0.8230  2 O 1.67-1.70
7 Se 0.3291 0.6938 0.2380  3 O 1.71-1.73
8 Se 0.6709 0.3062 0.7620  3 O 1.71-1.73
9 Se 0.7139 0.0567 0.1770  2 O 1.67-1.70
10 Se 0.7788 0.8230 0.5766  3 O 1.69-1.83
11 O 0.0102 0.9797 0.6870  2 Se 1.83-1.88
12 O 0.0453 0.3182 0.4788  1 Se 1.69
13 O 0.0474 0.5743 0.1792  1 Se 1.73
14 O 0.1858 0.7507 0.8732  1 Se 1.70
15 O 0.2549 0.0728 0.9702  1 Se 1.67
16 O 0.3682 0.2645 0.2795  1 Se 1.70
17 O 0.4218 0.6338 0.4182  1 Se 1.71
18 O 0.4869 0.4185 0.8606  1 Se 1.73
19 O 0.5131 0.5815 0.1394  1 Se 1.73
20 O 0.5782 0.3662 0.5818  1 Se 1.71
21 O 0.6318 0.7355 0.7205  1 Se 1.70
22 O 0.7451 0.9272 0.0298  1 Se 1.67
23 O 0.8142 0.2493 0.1268  1 Se 1.70
24 O 0.9526 0.4257 0.8208  1 Se 1.73
25 O 0.9547 0.6818 0.5212  1 Se 1.69
26 O 0.9898 0.0203 0.3130  2 Se 1.83-1.88

No. 5
First-principles (GGA-PBEsol) data for an optimized crystal structure of Al2AgW, as listed in Alexandria via LeMat-Bulk.

Properties
* crystal system: monoclinic
* formation energy: 0.081 eV per atom
* density: 9.1 g/cm³
* calculated total energy: -6.244 eV/atom
* DOS(E_F): 1.5 states/eV/f.u.

Cell: 2.7603 4.1743 5.4666 Å, 90.00 90.19 90.00°
Closest atoms and distances in Å follow each position.
Fractional positions:
1 Al 0.0040 0.0000 0.2300  3 Al 2.51-2.76, 2 Ag 2.56, 4 W 2.80
2 Al 0.9960 0.0000 0.7700  3 Al 2.51-2.76, 2 Ag 2.56, 4 W 2.80
3 Ag 0.0000 0.5000 0.5000  4 Al 2.56, 2 Ag 2.76
4 W 0.5000 0.5000 0.0000  2 W 2.76, 8 Al 2.80, 4 Ag 3.06-3.07

No. 6
First-principles (GGA-PBEsol) data for an optimized crystal structure of Be2CuBi, as listed in Alexandria via LeMat-Bulk.

Properties
* crystal system: tetragonal
* formation energy: 0.440 eV per atom
* density: 7.5 g/cm³
* calculated total energy: -3.714 eV/atom
* DOS(E_F): 1.6 states/eV/f.u.

Cell: 8.2135 8.2135 8.2135 Å, 151.14 151.14 41.27°
Closest atoms and distances in Å follow each position.
Fractional positions:
1 Be 0.0000 0.0000 0.0000  2 Be 2.05, 2 Cu 2.18
2 Be 0.0000 0.0000 0.5000  2 Be 2.05, 2 Cu 2.18
3 Be 0.0000 0.5000 0.0000  2 Be 2.05, 2 Cu 2.18
4 Be 0.5000 0.0000 0.5000  2 Be 2.05, 2 Cu 2.18
5 Cu 0.1250 0.8750 0.2500  4 Be 2.18
6 Cu 0.8750 0.1250 0.7500  4 Be 2.18
7 Bi 0.3750 0.6250 0.7500  4 Cu 2.89, 8 Be 2.99
8 Bi 0.6250 0.3750 0.2500  4 Cu 2.89, 8 Be 2.99